DFT (PBE) results for crystalline EuThZn at its relaxed geometry.

Values from the calculation:
Total DFT energy (no corrections) (Ry/atom): -0.468
Formation enthalpy at 0 K (eV/atom): -0.0428
M_tot (μB per atom): 2.53

a = 6.9371 Å, b = 6.9371 Å, c = 6.9371 Å
α = 149.25°, β = 149.25°, γ = 44.05°
Atoms (fractional coordinates):
Eu 0.0000 0.0000 0.0000
Th 0.2880 0.2880 0.0000
Zn 0.6507 0.6507 0.0000